Here is a relaxed Ac2Ge2Ir crystal from OQMD via LeMat-Bulk. Energies are from PBE-GGA.

## Properties
The uncorrected energy is -120.52 eV/cell.

Cell lengths 11.7238, 4.3886, 11.5833 Å; angles 90.00, 116.85, 90.00 degrees
With the nearest neighbours (Å) after each atom.
Space group C2/m (No. 12)
Unique sites:
Ac 0.1002 0.0000 0.3917  2 Ir 3.10, 6 Ge 3.16-3.42
Ac 0.2103 0.5000 0.1405  7 Ge 3.26-3.48, 4 Ir 3.37-3.46
Ge 0.0398 0.0000 0.9139  1 Ge 2.55, 2 Ir 2.56
Ge 0.1122 0.5000 0.6173  1 Ir 2.58, 1 Ge 2.80
Ir 0.0531 0.5000 0.8063  3 Ge 2.56-2.58

---

Here is a relaxed AcGeIr crystal from OQMD via LeMat-Bulk. Energies are from PBE-GGA.

## Properties
The uncorrected energy is -19.80 eV/cell.

Cell lengths 4.3345, 4.3345, 4.5044 Å; angles 90.00, 90.00, 120.00 degrees
With the nearest neighbours (Å) after each atom.
Space group P-6m2 (No. 187)
Unique sites:
Ac 0.0000 0.0000 0.0000  6 Ir 3.37, 6 Ge 3.37
Ge 0.3333 0.6667 0.5000  3 Ir 2.50
Ir 0.6667 0.3333 0.5000  3 Ge 2.50

---

Here is a relaxed Ac2Ge5Ir3 crystal from OQMD via LeMat-Bulk. Energies are from PBE-GGA.

## Properties
The uncorrected energy is -259.89 eV/cell.

Cell lengths 10.4321, 12.3717, 6.2223 Å; angles 90.00, 90.00, 90.00 degrees
With the nearest neighbours (Å) after each atom.
Space group Ibam (No. 72)
Unique sites:
Ac 0.2335 0.1306 0.0000  10 Ge 3.14-3.42, 3 Ir 3.29-3.36
Ge 0.0000 0.0000 0.2500  4 Ir 2.59
Ge 0.0000 0.2678 0.2500  2 Ir 2.52, 2 Ge 2.73
Ge 0.1518 0.3959 0.0000  3 Ir 2.50-2.57, 2 Ge 2.73
Ir 0.0000 0.5000 0.2500  6 Ge 2.57-2.87
Ir 0.1119 0.1381 0.5000  5 Ge 2.50-2.59

---

uncorrected energy of number 3 (Ac2Ge5Ir3)?
-259.89 eV/cell

---

The lowest uncorrected energy belongs to which entry?
Ac2Ge5Ir3